The following is a PBE-GGA calculation of a geometry-optimized Cs2Er2SnSe6 structure, from the Alexandria database.

Lattice parameters (Å, degrees): 7.114 7.114 8.984 97.91 97.91 119.94
Sites, in units of the cell vectors:
1 Se 0.935 0.613 0.319
2 Se 0.741 0.741 0.678
3 Se 0.613 0.935 0.319
4 Se 0.259 0.259 0.322
5 Se 0.065 0.387 0.681
6 Se 0.387 0.065 0.681
7 Er 0.332 0.668 0.500
8 Er 0.668 0.332 0.500
9 Sn 0.000 0.000 0.500
10 Cs 0.170 0.830 0.000
11 Cs 0.830 0.170 0.000

- VASP energy (eV per atom) = -4.59
- ΔE_f (raw) (eV per atom) = -1.345
- crystal system = monoclinic
- M_tot (μB per cell) = 0.00